Material: TlAg2As
Method: DFT, PBE
State: optimized geometry

Unit cell a=7.075 b=7.075 c=7.075 alpha=153.59 beta=143.81 gamma=45.36
Fractional positions:
Tl 0.000 0.000 0.000
Ag 0.269 0.769 0.500
Ag 0.610 0.610 0.000
As 0.785 0.285 0.500

## Properties
* energy of formation: 157 meV per atom
* SG: Imm2